Material: SrLiY2
Method: DFT, PBE
State: optimized geometry

The space group is F-43m (No. 216) and the conventional cell measures 8.177, 8.177 and 8.177 Å, with angles of 90.00, 90.00 and 90.00 degrees. The distinct sites, in fractional coordinates, are Sr at (0.000, 0.000, 0.000), Li at (0.250, 0.250, 0.250), Y at (0.000, 0.000, 0.500) and Y at (0.250, 0.250, 0.750).

For the magnetic moment, the calculation gives 0.00 Bohr magnetons per cell. The value obtained for the energy is -3.8464 eV/atom.